DFT (PBE-GGA) results for a relaxed structure of DyHoCu2As4.

Cell: 3.904 3.904 9.825 Å, 90.00 90.00 90.00°
Fractional coordinates of all 8 atoms:
Dy: 0.000 0.000 0.000
Ho: 0.500 0.500 0.526
Cu: 0.000 0.500 0.263
Cu: 0.500 0.000 0.263
As: 0.000 0.000 0.425
As: 0.000 0.500 0.762
As: 0.500 0.000 0.762
As: 0.500 0.500 0.102

Values from the calculation:
Space-group type: No. 99
Total magnetization: 0.0 μB per cell
Raw total energy: -5.22 eV per atom

=====

DFT (PBE-GGA) results for a relaxed structure of DyHoCu2As2P2.

Cell: 3.814 3.814 9.717 Å, 90.00 90.00 90.00°
Fractional coordinates of all 8 atoms:
Dy: 0.000 0.000 0.000
Ho: 0.500 0.500 0.514
Cu: 0.000 0.500 0.257
Cu: 0.500 0.000 0.257
As: 0.000 0.500 0.756
As: 0.500 0.000 0.756
P: 0.000 0.000 0.410
P: 0.500 0.500 0.104

Values from the calculation:
Space-group type: No. 99
Total magnetization: 0.0 μB per cell
Raw total energy: -5.47 eV per atom

=====

DFT (PBE-GGA) results for a relaxed structure of LaDyCu2As4.

Cell: 3.967 3.967 10.102 Å, 90.00 90.00 90.00°
Fractional coordinates of all 8 atoms:
La: 0.000 0.000 0.000
Dy: 0.500 0.500 0.477
Cu: 0.000 0.500 0.729
Cu: 0.500 0.000 0.729
As: 0.000 0.000 0.575
As: 0.000 0.500 0.247
As: 0.500 0.000 0.247
As: 0.500 0.500 0.881

Values from the calculation:
Space-group type: No. 99
Total magnetization: 0.0 μB per cell
Raw total energy: -5.29 eV per atom

=====

DFT (PBE-GGA) results for a relaxed structure of Li2DyCuAs2.

Cell: 4.196 4.196 6.582 Å, 90.00 90.00 120.00°
Fractional coordinates of all 6 atoms:
Li: 0.333 0.667 0.355
Li: 0.667 0.333 0.645
Dy: 0.000 0.000 0.000
Cu: 0.000 0.000 0.500
As: 0.333 0.667 0.746
As: 0.667 0.333 0.254

Values from the calculation:
Space-group type: No. 164
Total magnetization: 0.0 μB per cell
Raw total energy: -4.33 eV per atom

=====

DFT (PBE-GGA) results for a relaxed structure of DyCuAsP.

Cell: 3.813 3.813 9.856 Å, 90.00 90.00 90.00°
Fractional coordinates of all 8 atoms:
Dy: 0.250 0.250 0.224
Dy: 0.750 0.750 0.776
Cu: 0.250 0.750 0.500
Cu: 0.750 0.250 0.500
As: 0.250 0.250 0.663
As: 0.750 0.750 0.337
P: 0.250 0.750 0.000
P: 0.750 0.250 0.000

Values from the calculation:
ΔE to the lowest computed polymorph: 0.36 eV/f.u.
Space-group type: No. 129
Total magnetization: 0.0 μB per cell

=====

DFT (PBE-GGA) results for a relaxed structure of DyCuAsP.

Cell: 3.821 3.821 9.773 Å, 90.00 90.00 90.00°
Fractional coordinates of all 8 atoms:
Dy: 0.250 0.250 0.243
Dy: 0.750 0.750 0.757
Cu: 0.250 0.750 0.500
Cu: 0.750 0.250 0.500
As: 0.250 0.750 0.000
As: 0.750 0.250 0.000
P: 0.250 0.250 0.653
P: 0.750 0.750 0.347

Values from the calculation:
ΔE to the lowest computed polymorph: 0.00 eV/f.u.
Space-group type: No. 129
Total magnetization: 0.0 μB per cell

=====

- Which formula does entry 5 have?
  DyCuAsP

=====

- What is the total magnetization in the first record?
  0.0 μB per cell

=====

What did the second record say?
DFT (PBE-GGA) results for a relaxed structure of DyHoCu2As2P2.

Cell: 3.814 3.814 9.717 Å, 90.00 90.00 90.00°
Fractional coordinates of all 8 atoms:
Dy: 0.000 0.000 0.000
Ho: 0.500 0.500 0.514
Cu: 0.000 0.500 0.257
Cu: 0.500 0.000 0.257
As: 0.000 0.500 0.756
As: 0.500 0.000 0.756
P: 0.000 0.000 0.410
P: 0.500 0.500 0.104

Values from the calculation:
Space-group type: No. 99
Total magnetization: 0.0 μB per cell
Raw total energy: -5.47 eV per atom